A geometry-optimized AcY5Er4 structure, computed with GGA-PBE.

Calculated values
**Symmetry**: C2/m, No. 12
**D(E_F)**: 1.4413 states/eV/atom

The structure in extended XYZ format:
```
10
Lattice="8.687 -1.798 0.000 8.687 1.798 0.000 -0.082 0.000 10.955" Properties=species:S:1:pos:R:3 pbc="T T T"
Ac 0.000 0.000 0.000
Y -0.041 0.000 5.478
Y 5.614 0.000 0.673
Y 5.630 0.000 4.899
Y 11.662 0.000 6.057
Y 11.678 0.000 10.282
Er 2.580 0.000 2.743
Er 8.237 0.000 2.821
Er 9.054 0.000 8.134
Er 14.712 0.000 8.212
```

A geometry-optimized Pm6Sm7 structure, computed with GGA-PBE.

Calculated values
**Symmetry**: R-3m, No. 166
**D(E_F)**: 2.1701 states/eV/atom

The structure in extended XYZ format:
```
13
Lattice="3.351 1.935 11.626 -3.351 1.935 11.626 0.000 -3.869 11.626" Properties=species:S:1:pos:R:3 pbc="T T T"
Pm 0.000 0.000 1.620
Pm 0.000 0.000 5.224
Pm 0.000 0.000 11.677
Pm 0.000 0.000 23.201
Pm 0.000 0.000 29.653
Pm 0.000 0.000 33.258
Sm -1.717 -0.991 14.631
Sm 0.000 -1.982 20.247
Sm -1.717 0.991 20.247
Sm 0.000 0.000 17.439
Sm 1.717 -0.991 14.631
Sm 0.000 1.982 14.631
Sm 1.717 0.991 20.247
```

Formation energy list, top to bottom, in meV per atom: 216.6 245.8